A:
ZrHgPCl2: optimized geometry, PBE.

The space group is P4/mmm (No. 123) and the conventional cell measures 5.037, 5.037 and 5.225 Å, with angles of 90.00, 90.00 and 90.00 degrees. Symmetry generates all atoms from Zr at (0.000, 0.000, 0.000), Hg at (0.500, 0.500, 0.500), P at (0.000, 0.000, 0.500) and Cl at (0.000, 0.500, 0.000).

As for the size of the total moment: 0.00 μB per formula unit. For the volume, the calculation gives 132.6 Å³/cell. The crystal system is tetragonal.

***

B:
ZrHgPCl2: optimized geometry, PBE.

The space group is P4/mmm (No. 123) and the conventional cell measures 5.036, 5.036 and 5.182 Å, with angles of 90.00, 90.00 and 90.00 degrees. Symmetry generates all atoms from Zr at (0.000, 0.000, 0.000), Hg at (0.500, 0.500, 0.500), P at (0.500, 0.500, 0.000) and Cl at (0.000, 0.500, 0.500).

As for the size of the total moment: 1.28 μB per formula unit. For the volume, the calculation gives 131.4 Å³/cell. The crystal system is tetragonal.

***

The structure with the least stability is B.

***

A:
HgPbCl2: optimized geometry, PBE.

The space group is Fm-3m (No. 225) and the conventional cell measures 7.511, 7.511 and 7.511 Å, with angles of 90.00, 90.00 and 90.00 degrees. Symmetry generates all atoms from Hg at (0.000, 0.000, 0.000), Pb at (0.000, 0.000, 0.500) and Cl at (0.250, 0.250, 0.250).

As for the size of the total moment: 0.00 μB per formula unit. For the volume, the calculation gives 423.7 Å³/cell. The crystal system is cubic.

***

B:
HgPbCl2: optimized geometry, PBE.

The space group is P2/m (No. 10) and the conventional cell measures 5.531, 4.170 and 6.645 Å, with angles of 90.00, 113.08 and 90.00 degrees. Symmetry generates all atoms from Hg at (0.000, 0.000, 0.000), Pb at (0.500, 0.000, 0.500) and Cl at (0.334, 0.500, 0.705).

As for the size of the total moment: 0.00 μB per formula unit. For the volume, the calculation gives 141.0 Å³/cell. The crystal system is monoclinic.

***

C:
HgPbCl2: optimized geometry, PBE.

The space group is Immm (No. 71) and the conventional cell measures 4.183, 6.447 and 9.732 Å, with angles of 90.00, 90.00 and 90.00 degrees. Symmetry generates all atoms from Hg at (0.000, 0.000, 0.000), Pb at (0.000, 0.000, 0.500) and Cl at (0.000, 0.500, 0.200).

As for the size of the total moment: 0.00 μB per formula unit. For the volume, the calculation gives 262.4 Å³/cell. The crystal system is orthorhombic.

***

D:
HgPbCl2: optimized geometry, PBE.

The space group is R3m (No. 160, hexagonal axes) and the conventional cell measures 4.3630, 4.3630 and 28.6314 Å, with angles of 90.00, 90.00 and 120.00 degrees. Symmetry generates all atoms from Hg at (0.0000, 0.0000, 0.0000), Pb at (0.0000, 0.0000, 0.8341), Cl at (0.0000, 0.0000, 0.2199) and Cl at (0.0000, 0.0000, 0.4480).

As for the size of the total moment: 0.00 μB per formula unit. For the volume, the calculation gives 472.0 Å³/cell. The crystal system is trigonal.

***

The structure with the least stability is A.

***

A:
HgPbCl2: optimized geometry, PBE.

The space group is P4mm (No. 99) and the conventional cell measures 4.274, 4.274 and 8.881 Å, with angles of 90.00, 90.00 and 90.00 degrees. Symmetry generates all atoms from Hg at (0.000, 0.000, 0.000), Pb at (0.500, 0.500, 0.454), Cl at (0.000, 0.000, 0.437) and Cl at (0.500, 0.500, 0.733).

As for the size of the total moment: 0.00 μB per formula unit. For the volume, the calculation gives 162.2 Å³/cell. The crystal system is tetragonal.

***

B:
HgPbCl2: optimized geometry, PBE.

The space group is I-42d (No. 122) and the conventional cell measures 8.396, 8.396 and 11.529 Å, with angles of 90.00, 90.00 and 90.00 degrees. Symmetry generates all atoms from Hg at (0.000, 0.000, 0.000), Pb at (0.000, 0.000, 0.500) and Cl at (0.132, 0.250, 0.625).

As for the size of the total moment: 0.00 μB per formula unit. For the volume, the calculation gives 812.7 Å³/cell. The crystal system is tetragonal.

***

C:
HgPbCl2: optimized geometry, PBE.

The space group is F-43m (No. 216) and the conventional cell measures 7.445, 7.445 and 7.445 Å, with angles of 90.00, 90.00 and 90.00 degrees. Symmetry generates all atoms from Hg at (0.000, 0.000, 0.000), Pb at (0.250, 0.250, 0.250), Cl at (0.000, 0.000, 0.500) and Cl at (0.250, 0.250, 0.750).

As for the size of the total moment: 0.00 μB per formula unit. For the volume, the calculation gives 412.6 Å³/cell. The crystal system is cubic.

***

The structure with the least stability is C.

***

A:
HgPbCl2: optimized geometry, PBE.

The space group is P4/mmm (No. 123) and the conventional cell measures 3.674, 3.674 and 9.620 Å, with angles of 90.00, 90.00 and 90.00 degrees. Symmetry generates all atoms from Hg at (0.000, 0.000, 0.000), Pb at (0.000, 0.000, 0.500) and Cl at (0.500, 0.500, 0.330).

As for the size of the total moment: 0.00 μB per formula unit. For the volume, the calculation gives 129.9 Å³/cell. The crystal system is tetragonal.

***

B:
HgPbCl2: optimized geometry, PBE.

The space group is C2/m (No. 12) and the conventional cell measures 7.547, 4.353 and 9.900 Å, with angles of 90.00, 104.24 and 90.00 degrees. Symmetry generates all atoms from Hg at (0.000, 0.000, 0.000), Pb at (0.000, 0.500, 0.500) and Cl at (0.218, 0.000, 0.658).

As for the size of the total moment: 0.00 μB per formula unit. For the volume, the calculation gives 315.3 Å³/cell. The crystal system is monoclinic.

***

C:
HgPbCl2: optimized geometry, PBE.

The space group is I-4m2 (No. 119) and the conventional cell measures 4.546, 4.546 and 10.090 Å, with angles of 90.00, 90.00 and 90.00 degrees. Symmetry generates all atoms from Hg at (0.000, 0.000, 0.000), Pb at (0.000, 0.500, 0.750), Cl at (0.000, 0.000, 0.500) and Cl at (0.000, 0.500, 0.250).

As for the size of the total moment: 0.00 μB per formula unit. For the volume, the calculation gives 208.6 Å³/cell. The crystal system is tetragonal.

***

D:
HgPbCl2: optimized geometry, PBE.

The space group is Cm (No. 8) and the conventional cell measures 10.003, 4.019 and 7.638 Å, with angles of 90.00, 110.31 and 90.00 degrees. Symmetry generates all atoms from Hg at (0.000, 0.000, 0.000), Pb at (0.329, 0.000, 0.596), Cl at (0.130, 0.500, 0.673) and Cl at (0.304, 0.500, 0.333).

As for the size of the total moment: 0.00 μB per formula unit. For the volume, the calculation gives 288.0 Å³/cell. The crystal system is monoclinic.

***

The structure with the least stability is C.

***

A:
HgPbCl2: optimized geometry, PBE.

The space group is Pmmm (No. 47) and the conventional cell measures 4.248, 4.977 and 4.988 Å, with angles of 90.00, 90.00 and 90.00 degrees. Symmetry generates all atoms from Hg at (0.000, 0.000, 0.000), Pb at (0.000, 0.500, 0.500), Cl at (0.500, 0.000, 0.500) and Cl at (0.500, 0.500, 0.000).

As for the size of the total moment: 0.00 μB per formula unit. For the volume, the calculation gives 105.5 Å³/cell. The crystal system is orthorhombic.

***

B:
HgPbCl2: optimized geometry, PBE.

The space group is Pm (No. 6) and the conventional cell measures 4.477, 4.110 and 7.497 Å, with angles of 90.00, 107.33 and 90.00 degrees. Symmetry generates all atoms from Hg at (0.000, 0.000, 0.000), Pb at (0.797, 0.500, 0.600), Cl at (0.288, 0.000, 0.577) and Cl at (0.620, 0.500, 0.240).

As for the size of the total moment: 0.00 μB per formula unit. For the volume, the calculation gives 131.7 Å³/cell. The crystal system is monoclinic.

***

The structure with the least stability is A.

***

A:
HgPb2Cl6: optimized geometry, PBE.

The space group is P4_2/mnm (No. 136) and the conventional cell measures 6.674, 6.674 and 12.969 Å, with angles of 90.00, 90.00 and 90.00 degrees. Symmetry generates all atoms from Hg at (0.000, 0.000, 0.000), Pb at (0.000, 0.000, 0.335), Cl at (0.190, 0.190, 0.156) and Cl at (0.206, 0.206, 0.500).

As for the size of the total moment: 0.00 μB per formula unit. For the volume, the calculation gives 577.7 Å³/cell. The crystal system is tetragonal.

***

B:
HgPb2Cl6: optimized geometry, PBE.

The space group is Pnnm (No. 58) and the conventional cell measures 6.683, 7.131 and 12.822 Å, with angles of 90.00, 90.00 and 90.00 degrees. Symmetry generates all atoms from Hg at (0.000, 0.000, 0.000), Pb at (0.000, 0.500, 0.190), Cl at (0.196, 0.289, 0.000) and Cl at (0.242, 0.324, 0.338).

As for the size of the total moment: 0.00 μB per formula unit. For the volume, the calculation gives 611.1 Å³/cell. The crystal system is orthorhombic.

***

The structure with the least stability is A.

***

A:
Hg2Pb2Cl: optimized geometry, PBE.

The space group is I4/mmm (No. 139) and the conventional cell measures 4.233, 4.233 and 16.359 Å, with angles of 90.00, 90.00 and 90.00 degrees. Symmetry generates all atoms from Hg at (0.000, 0.500, 0.250), Pb at (0.000, 0.000, 0.099) and Cl at (0.000, 0.000, 0.500).

As for the size of the total moment: 0.00 μB per formula unit. For the volume, the calculation gives 293.1 Å³/cell. The crystal system is tetragonal.

***

B:
Hg2Pb2Cl: optimized geometry, PBE.

The space group is P4/mbm (No. 127) and the conventional cell measures 8.733, 8.733 and 3.789 Å, with angles of 90.00, 90.00 and 90.00 degrees. Symmetry generates all atoms from Hg at (0.123, 0.377, 0.000), Pb at (0.184, 0.684, 0.500) and Cl at (0.000, 0.000, 0.000).

As for the size of the total moment: 0.00 μB per formula unit. For the volume, the calculation gives 289.0 Å³/cell. The crystal system is tetragonal.

***

C:
Hg2Pb2Cl: optimized geometry, PBE.

The space group is P4/mbm (No. 127) and the conventional cell measures 8.172, 8.172 and 4.434 Å, with angles of 90.00, 90.00 and 90.00 degrees. Symmetry generates all atoms from Hg at (0.149, 0.351, 0.000), Pb at (0.158, 0.658, 0.500) and Cl at (0.000, 0.000, 0.500).

As for the size of the total moment: 0.00 μB per formula unit. For the volume, the calculation gives 296.1 Å³/cell. The crystal system is tetragonal.

***

The structure with the least stability is B.

***

A:
HgPbCl: optimized geometry, PBE.

The space group is I4mm (No. 107) and the conventional cell measures 3.815, 3.815 and 11.550 Å, with angles of 90.00, 90.00 and 90.00 degrees. Symmetry generates all atoms from Hg at (0.000, 0.000, 0.000), Pb at (0.000, 0.000, 0.340) and Cl at (0.000, 0.000, 0.696).

As for the size of the total moment: 0.00 μB per formula unit. For the volume, the calculation gives 168.1 Å³/cell. The crystal system is tetragonal.

***

B:
HgPbCl: optimized geometry, PBE.

The space group is Fmm2 (No. 42) and the conventional cell measures 3.779, 6.157 and 15.070 Å, with angles of 90.00, 90.00 and 90.00 degrees. Symmetry generates all atoms from Hg at (0.000, 0.000, 0.000), Pb at (0.000, 0.000, 0.313) and Cl at (0.000, 0.000, 0.671).

As for the size of the total moment: 0.00 μB per formula unit. For the volume, the calculation gives 350.6 Å³/cell. The crystal system is orthorhombic.

***

C:
HgPbCl: optimized geometry, PBE.

The space group is P3m1 (No. 156) and the conventional cell measures 5.2925, 5.2925 and 3.4650 Å, with angles of 90.00, 90.00 and 120.00 degrees. Symmetry generates all atoms from Hg at (0.0000, 0.0000, 0.0000), Pb at (0.6667, 0.3333, 0.4089) and Cl at (0.3333, 0.6667, 0.4832).

As for the size of the total moment: 0.00 μB per formula unit. For the volume, the calculation gives 84.1 Å³/cell. The crystal system is trigonal.

***

The structure with the least stability is A.

***

A:
HgPb3Cl: optimized geometry, PBE.

The space group is Pm-3m (No. 221) and the conventional cell measures 5.823, 5.823 and 5.823 Å, with angles of 90.00, 90.00 and 90.00 degrees. Symmetry generates all atoms from Hg at (0.000, 0.000, 0.000), Pb at (0.000, 0.000, 0.500) and Cl at (0.500, 0.500, 0.500).

As for the size of the total moment: 0.00 μB per formula unit. For the volume, the calculation gives 197.4 Å³/cell. The crystal system is cubic.

***

B:
HgPb3Cl: optimized geometry, PBE.

The space group is Pm-3m (No. 221) and the conventional cell measures 5.589, 5.589 and 5.589 Å, with angles of 90.00, 90.00 and 90.00 degrees. Symmetry generates all atoms from Hg at (0.000, 0.000, 0.000), Pb at (0.000, 0.500, 0.500) and Cl at (0.500, 0.500, 0.500).

As for the size of the total moment: 0.00 μB per formula unit. For the volume, the calculation gives 174.6 Å³/cell. The crystal system is cubic.

***

The structure with the least stability is A.

***

A:
HgPd2Cl: optimized geometry, PBE.

The space group is Fm-3m (No. 225) and the conventional cell measures 6.616, 6.616 and 6.616 Å, with angles of 90.00, 90.00 and 90.00 degrees. Symmetry generates all atoms from Hg at (0.000, 0.000, 0.000), Pd at (0.250, 0.250, 0.250) and Cl at (0.000, 0.000, 0.500).

As for the size of the total moment: 0.00 μB per formula unit. For the volume, the calculation gives 289.6 Å³/cell. The crystal system is cubic.

***

B:
HgPd2Cl: optimized geometry, PBE.

The space group is I-42d (No. 122) and the conventional cell measures 4.722, 4.722 and 15.895 Å, with angles of 90.00, 90.00 and 90.00 degrees. Symmetry generates all atoms from Hg at (0.000, 0.000, 0.000), Pd at (0.165, 0.250, 0.625) and Cl at (0.000, 0.000, 0.500).

As for the size of the total moment: 0.00 μB per formula unit. For the volume, the calculation gives 354.5 Å³/cell. The crystal system is tetragonal.

***

The structure with the least stability is B.